1.
DFT (GGA-PBE) results for a geometry-optimized V2GaBrN structure.

Cell lengths 4.457, 5.133, 4.457 Å; angles 90.00, 90.00, 90.00 degrees
Atoms (fractional coordinates):
N  0.500  0.500  0.500
Ga  0.000  0.500  0.000
Br  0.000  0.000  0.000
V  0.000  0.000  0.500
V  0.500  0.000  0.000

Computed properties:
D(E_F) in states/eV per cell: 9.99
Calculated volume in Å³ per cell: 102.0
Uncorrected energy in Ha/atom: -0.149


2.
DFT (GGA-PBE) results for a geometry-optimized VGa2BrN structure.

Cell lengths 5.459, 4.585, 5.459 Å; angles 90.00, 90.00, 90.00 degrees
Site moments in Bohr magnetons follow the coordinates.
Atoms (fractional coordinates):
N  0.500  0.500  0.500  -0.19
Ga  0.000  0.000  0.500  0.00
Ga  0.500  0.000  0.000  0.00
Br  0.000  0.000  0.000  0.00
V  0.000  0.500  0.000  -0.60

Computed properties:
D(E_F) in states/eV per cell: 7.57
Calculated volume in Å³ per cell: 136.7
Uncorrected energy in Ha/atom: -0.113


3.
DFT (GGA-PBE) results for a geometry-optimized ZrGa2BrN structure.

Cell lengths 5.210, 3.804, 5.210 Å; angles 90.00, 90.00, 90.00 degrees
Atoms (fractional coordinates):
Ga  0.000  0.000  0.500
Ga  0.500  0.000  0.000
Br  0.000  0.000  0.000
Zr  0.500  0.500  0.500
N  0.000  0.500  0.000

Computed properties:
D(E_F) in states/eV per cell: 5.04
Calculated volume in Å³ per cell: 103.3
Uncorrected energy in Ha/atom: -0.136


4.
DFT (GGA-PBE) results for a geometry-optimized NaGa2Br structure.

Cell lengths 8.857, 8.857, 6.867 Å; angles 49.84, 49.84, 90.00 degrees
Atoms (fractional coordinates):
Na  0.500  0.500  0.000
Na  0.250  0.750  0.500
Ga  0.640  0.125  0.250
Ga  0.110  0.625  0.250
Ga  0.375  0.360  0.750
Ga  0.875  0.890  0.750
Br  0.000  0.000  0.000
Br  0.750  0.250  0.500

Computed properties:
D(E_F) in states/eV per cell: 4.86
Relative energy among the computed polymorphs in meV/atom: 0
Calculated volume in Å³ per cell: 220.9
Uncorrected energy in Ha/atom: -0.090